Entry 1:
Below is a geometry-optimized ScCoSn2Hg structure, with properties calculated at the PBE-GGA level.

Properties
The value obtained for the density of states at the Fermi level is 2.9 states/eV/f.u. The calculation puts the volume at 115.3 Å³/f.u. The crystal system is tetragonal. Its symmetry is P4/mmm, No. 123. As for the calculated total energy: -0.328 Ry per atom.

Cell: 4.899 4.899 4.802 Å, 90.00 90.00 90.00°
Sites, in units of the cell vectors:
1 Sc 0.000 0.000 0.000
2 Co 0.000 0.000 0.500
3 Sn 0.000 0.500 0.500
4 Sn 0.500 0.000 0.500
5 Hg 0.500 0.500 0.000

Entry 2:
Below is a geometry-optimized Tb2YTm2Sc structure, with properties calculated at the PBE-GGA level.

Properties
The value obtained for the density of states at the Fermi level is 11.1 states/eV/f.u. The calculation puts the volume at 180.7 Å³/f.u. The crystal system is orthorhombic. Its symmetry is Pmma, No. 51. As for the calculated total energy: -0.375 Ry per atom.

Cell: 6.934 5.493 9.486 Å, 90.00 90.00 90.00°
Sites, in units of the cell vectors:
1 Tb 0.250 0.000 0.155
2 Tb 0.250 0.500 0.677
3 Tb 0.750 0.000 0.845
4 Tb 0.750 0.500 0.323
5 Y 0.000 0.500 0.000
6 Y 0.500 0.500 0.000
7 Tm 0.000 0.000 0.500
8 Tm 0.250 0.500 0.342
9 Tm 0.500 0.000 0.500
10 Tm 0.750 0.500 0.658
11 Sc 0.250 0.000 0.822
12 Sc 0.750 0.000 0.178

Entry 3:
Below is a geometry-optimized La2Tb2Er3 structure, with properties calculated at the PBE-GGA level.

Properties
The value obtained for the density of states at the Fermi level is 9.7 states/eV/f.u. The calculation puts the volume at 234.3 Å³/f.u. The crystal system is cubic. Its symmetry is I2_13, No. 199. As for the calculated total energy: -0.329 Ry per atom. The energy above the most stable polymorph in this dataset comes out at 0.0167 eV/atom.

Cell: 8.475 8.475 8.475 Å, 109.47 109.47 109.47°
Sites, in units of the cell vectors:
1 La 0.000 0.818 0.500
2 La 0.500 0.000 0.818
3 La 0.682 0.682 0.682
4 La 0.818 0.500 0.000
5 Tb 0.000 0.422 0.500
6 Tb 0.078 0.078 0.078
7 Tb 0.422 0.500 0.000
8 Tb 0.500 0.000 0.422
9 Er 0.202 0.750 0.952
10 Er 0.250 0.548 0.298
11 Er 0.298 0.250 0.548
12 Er 0.548 0.298 0.250
13 Er 0.750 0.952 0.202
14 Er 0.952 0.202 0.750

Entry 4:
Below is a geometry-optimized YTmInRu structure, with properties calculated at the PBE-GGA level.

Properties
The value obtained for the density of states at the Fermi level is 3.0 states/eV/f.u. The calculation puts the volume at 90.2 Å³/f.u. The crystal system is cubic. Its symmetry is F-43m, No. 216. As for the calculated total energy: -0.448 Ry per atom. The energy above the most stable polymorph in this dataset comes out at 0.1305 eV/atom.

Cell: 5.033 5.033 5.033 Å, 60.00 60.00 60.00°
Sites, in units of the cell vectors:
1 Y 0.000 0.000 0.000
2 Tm 0.500 0.500 0.500
3 In 0.250 0.250 0.250
4 Ru 0.750 0.750 0.750

Entry 5:
Below is a geometry-optimized RbSnS2 structure, with properties calculated at the PBE-GGA level.

Properties
The value obtained for the density of states at the Fermi level is 3.1 states/eV/f.u. The calculation puts the volume at 110.9 Å³/f.u. The crystal system is trigonal. The value obtained for the uncorrected formation energy is -0.67 eV per atom. Its symmetry is R3m, No. 160. As for the calculated total energy: -0.292 Ry per atom.

Cell: 8.124 8.124 8.124 Å, 28.92 28.92 28.92°
Sites, in units of the cell vectors:
1 Rb 0.000 0.000 0.000
2 Sn 0.167 0.167 0.167
3 S 0.564 0.564 0.564
4 S 0.770 0.770 0.770

Entry 6:
Below is a geometry-optimized V2CuPd7 structure, with properties calculated at the PBE-GGA level.

Properties
The value obtained for the density of states at the Fermi level is 8.0 states/eV/f.u. The calculation puts the volume at 183.7 Å³/f.u. The crystal system is orthorhombic. Its symmetry is Cmmm, No. 65. As for the calculated total energy: -0.404 Ry per atom.

Cell: 7.419 7.419 3.921 Å, 90.00 90.00 121.67°
Sites, in units of the cell vectors:
1 V 0.190 0.810 0.000
2 V 0.810 0.190 0.000
3 Cu 0.500 0.500 0.500
4 Pd 0.000 0.000 0.000
5 Pd 0.199 0.417 0.000
6 Pd 0.295 0.705 0.500
7 Pd 0.417 0.199 0.000
8 Pd 0.583 0.801 0.000
9 Pd 0.705 0.295 0.500
10 Pd 0.801 0.583 0.000

Entry 7:
Below is a geometry-optimized TcPHO2 structure, with properties calculated at the PBE-GGA level.

Properties
The value obtained for the density of states at the Fermi level is 1.7 states/eV/f.u. The calculation puts the volume at 68.5 Å³/f.u. The crystal system is tetragonal. Its symmetry is P4/mmm, No. 123. As for the calculated total energy: -0.441 Ry per atom. The energy above the most stable polymorph in this dataset comes out at 0.0000 eV/atom.

Cell: 3.709 3.709 4.976 Å, 90.00 90.00 90.00°
Sites, in units of the cell vectors:
1 Tc 0.000 0.000 0.000
2 P 0.000 0.000 0.500
3 H 0.500 0.500 0.500
4 O 0.000 0.500 0.000
5 O 0.500 0.000 0.000

Entry 8:
Below is a geometry-optimized NaCe2F8 structure, with properties calculated at the PBE-GGA level.

Properties
The value obtained for the density of states at the Fermi level is 10.8 states/eV/f.u. The calculation puts the volume at 162.7 Å³/f.u. The crystal system is monoclinic. The value obtained for the uncorrected formation energy is -3.70 eV per atom. Its symmetry is C2/m, No. 12. As for the calculated total energy: -0.460 Ry per atom. The energy above the most stable polymorph in this dataset comes out at 0.0082 eV/atom.

Cell: 6.356 6.356 4.417 Å, 96.88 96.88 111.08°
Sites, in units of the cell vectors:
1 Na 0.000 0.000 0.000
2 Ce 0.318 0.682 0.500
3 Ce 0.682 0.318 0.500
4 F 0.057 0.335 0.581
5 F 0.243 0.757 0.000
6 F 0.335 0.057 0.581
7 F 0.384 0.384 0.218
8 F 0.616 0.616 0.782
9 F 0.665 0.943 0.419
10 F 0.757 0.243 0.000
11 F 0.943 0.665 0.419